This record from Alexandria describes crystalline Pu2PaPd at its relaxed geometry. The functional is PBE.

The space group is P4/mmm (No. 123) and the conventional cell measures 3.486, 3.486 and 7.357 Å, with angles of 90.00, 90.00 and 90.00 degrees. The asymmetric unit holds Pu at (0.000, 0.000, 0.233), Pa at (0.500, 0.500, 0.500) and Pd at (0.500, 0.500, 0.000).

The theoretical density is 15.3 g/cm³. The value obtained for the formation energy is -0.65 eV/f.u. Its relative energy among the computed polymorphs is 0.0 meV per atom. The density of states at the Fermi level comes out at 2.8183 states/eV/atom.